Record 1
V2B2Se7 | PBE | optimized geometry

a b c (Å): 6.528 6.528 5.926
angles (deg): 100.36 100.36 107.78
Fractional coordinates of all 11 atoms:
V1 0.189 0.811 0.000
V2 0.811 0.189 0.000
B1 0.256 0.256 0.624
B2 0.744 0.744 0.376
Se1 0.065 0.404 0.772
Se2 0.154 0.154 0.256
Se3 0.404 0.065 0.772
Se4 0.500 0.500 0.500
Se5 0.596 0.935 0.228
Se6 0.846 0.846 0.744
Se7 0.935 0.596 0.228

* ΔE_f (raw): -153.3 meV/atom
* E: -5.24 eV/atom
* total magnetization: 4.00 μB per formula unit
* density: 4903 kg/m3
* SG: C2/m, No. 12

***

Record 2
VBSe2 | PBE | optimized geometry

a b c (Å): 6.135 6.135 6.135
angles (deg): 125.90 125.90 80.06
Fractional coordinates of all 8 atoms:
V1 0.000 0.000 0.000
V2 0.750 0.250 0.500
B1 0.250 0.750 0.500
B2 0.500 0.500 0.000
Se1 0.187 0.625 0.062
Se2 0.375 0.437 0.562
Se3 0.563 0.125 0.938
Se4 0.875 0.813 0.438

* ΔE_f (raw): 172.2 meV/atom
* E: -5.52 eV/atom
* total magnetization: 3.38 μB per formula unit
* density: 4988 kg/m3
* SG: I-42d, No. 122